VASP calculation (PBE-GGA) on a relaxed structure of ZrAg2Pt.

Computed properties:
Total magnetization: 0.00 μB/cell
Electronic total energy: -5.405 eV/atom
Polymorph energy (0 for the lowest one): 17 meV per atom
ΔE_f: -332 meV/atom

```
data_ZrAg2Pt
_space_group_name_H-M_alt 'F -4 3 m'
_space_group_IT_number 216
_space_group_name_Hall 'F -4 2 3'
_cell_length_a 6.6303
_cell_length_b 6.6303
_cell_length_c 6.6303
_cell_angle_alpha 90.00
_cell_angle_beta 90.00
_cell_angle_gamma 90.00
loop_
_atom_site_label
_atom_site_fract_x
_atom_site_fract_y
_atom_site_fract_z
_atom_site_occupancy
Zr1 0.0000 0.0000 0.0000 1
Ag1 0.0000 0.0000 0.5000 1
Ag2 0.2500 0.2500 0.2500 1
Pt1 0.2500 0.2500 0.7500 1
```